1.
A geometry-optimized TcC5 structure. Source: Alexandria, functional PBE-GGA.

Cell: 6.8405 2.6614 5.5731 Å, 90.00 91.79 90.00°
Last column: nearest neighbours and their distance in Å.
Fractional positions:
Tc 0.0000 0.0000 0.0000  7 C 2.05-2.20
Tc 0.5000 0.5000 0.0000  7 C 2.05-2.20
C 0.0776 0.5000 0.5612  4 C 1.48-1.60
C 0.0810 0.5000 0.2952  2 C 1.36-1.48
C 0.1830 0.0000 0.6581  3 C 1.45-1.60
C 0.2233 0.5000 0.1311  1 C 1.36
C 0.3923 0.0000 0.7096  2 C 1.45-1.53
C 0.5776 0.0000 0.5612  4 C 1.48-1.60
C 0.5810 0.0000 0.2952  2 C 1.36-1.48
C 0.6830 0.5000 0.6581  3 C 1.45-1.60
C 0.7233 0.0000 0.1311  1 C 1.36
C 0.8923 0.5000 0.7096  2 C 1.45-1.53

Summary:
Crystal system   monoclinic
DOS(E_F)   2.1 states/eV/f.u.
Total magnetization   0.000 μB/cell
Symmetry   Cm (8)
Energy of formation from the pure elements   0.84 eV/atom

***

2.
A geometry-optimized TcC structure. Source: Alexandria, functional PBE-GGA.

Cell: 7.8026 7.8026 3.5998 Å, 90.00 90.00 90.00°
Last column: nearest neighbours and their distance in Å.
Fractional positions:
Tc 0.1356 0.3260 0.0000  4 C 1.93-2.06
Tc 0.1740 0.6356 0.5000  4 C 1.93-2.06
Tc 0.3260 0.8644 0.0000  4 C 1.93-2.06
Tc 0.3644 0.1740 0.5000  4 C 1.93-2.06
Tc 0.6356 0.8260 0.5000  4 C 1.93-2.06
Tc 0.6740 0.1356 0.0000  4 C 1.93-2.06
Tc 0.8260 0.3644 0.5000  4 C 1.93-2.06
Tc 0.8644 0.6740 0.0000  4 C 1.93-2.06
C 0.1019 0.7422 0.0000  4 Tc 1.93-2.06
C 0.2422 0.3981 0.5000  4 Tc 1.93-2.06
C 0.2578 0.1019 0.0000  4 Tc 1.93-2.06
C 0.3981 0.7578 0.5000  4 Tc 1.93-2.06
C 0.6019 0.2422 0.5000  4 Tc 1.93-2.06
C 0.7422 0.8981 0.0000  4 Tc 1.93-2.06
C 0.7578 0.6019 0.5000  4 Tc 1.93-2.06
C 0.8981 0.2578 0.0000  4 Tc 1.93-2.06

Summary:
Crystal system   tetragonal
DOS(E_F)   1.0 states/eV/f.u.
Total magnetization   0.000 μB/cell
Symmetry   I4/m (87)
Energy of formation from the pure elements   0.34 eV/atom

***

Here are the calculated excess energy over the best structure of this formula in the dataset numbers, same order: 121 121 (meV per atom).